Density functional theory data (meta-GGA SCAN) for a PBEsol-optimized structure of TeH12AuC4S3N.

abc: 6.5906 8.9338 18.6411
angles: 90.00 90.00 101.54
Closest atoms and distances in Å follow each position.
Atoms (fractional coordinates):
H 0.5381 0.5218 0.7217  1 C 1.10
H 0.2697 0.2593 0.5454  1 C 1.10
H 0.2488 0.5279 0.3742  1 C 1.10
H 0.7512 0.4721 0.6258  1 C 1.10
H 0.5907 0.5510 0.5647  1 C 1.10
H 0.3940 0.7343 0.2966  1 C 1.10
H 0.2697 0.7593 0.9546  1 C 1.10
H 0.7392 0.0592 0.2203  1 C 1.10
H 0.7850 0.5531 0.4373  1 C 1.10
H 0.5148 0.8467 0.3709  1 C 1.10
H 0.7303 0.2407 0.0454  1 C 1.10
H 0.3610 0.1405 0.0493  1 C 1.10
H 0.6390 0.3595 0.5493  1 C 1.10
H 0.3693 0.5957 0.6605  1 C 1.10
H 0.8885 0.7103 0.3787  1 C 1.10
H 0.4093 0.9490 0.0647  1 C 1.10
H 0.3940 0.2343 0.2034  1 C 1.10
H 0.3273 0.6954 0.7963  1 C 1.10
H 0.2488 0.0279 0.1258  1 C 1.10
H 0.4093 0.4490 0.4353  1 C 1.10
H 0.2608 0.4408 0.7203  1 C 1.10
H 0.6060 0.2657 0.7034  1 C 1.10
H 0.5148 0.3467 0.1291  1 C 1.10
H 0.5907 0.0510 0.9353  1 C 1.10
H 0.4619 0.4782 0.2783  1 C 1.10
H 0.3693 0.0957 0.8395  1 C 1.10
H 0.4852 0.6533 0.8709  1 C 1.10
H 0.2150 0.9469 0.9373  1 C 1.10
H 0.7392 0.5592 0.2797  1 C 1.10
H 0.6727 0.3046 0.2037  1 C 1.10
H 0.6307 0.4043 0.3395  1 C 1.10
H 0.7303 0.7407 0.4546  1 C 1.10
H 0.1115 0.2897 0.6213  1 C 1.10
H 0.8885 0.2103 0.1213  1 C 1.10
H 0.2608 0.9408 0.7797  1 C 1.10
H 0.1115 0.7897 0.8787  1 C 1.10
H 0.6307 0.9043 0.1605  1 C 1.10
H 0.2150 0.4469 0.5627  1 C 1.10
H 0.4619 0.9782 0.2217  1 C 1.10
H 0.3610 0.6405 0.4507  1 C 1.10
H 0.7850 0.0531 0.0627  1 C 1.10
H 0.3273 0.1954 0.7037  1 C 1.10
H 0.7512 0.9721 0.8742  1 C 1.10
H 0.6390 0.8595 0.9507  1 C 1.10
H 0.4852 0.1533 0.6291  1 C 1.10
H 0.5381 0.0218 0.7783  1 C 1.10
H 0.6060 0.7657 0.7966  1 C 1.10
H 0.6727 0.8046 0.2963  1 C 1.10
C 0.3839 0.0554 0.0898  3 H 1.10
C 0.3839 0.5554 0.4102  3 H 1.10
C 0.6025 0.5071 0.3116  3 H 1.10
C 0.2437 0.8409 0.9129  3 H 1.10
C 0.5352 0.7619 0.3298  3 H 1.10
C 0.6025 0.0071 0.1884  3 H 1.10
C 0.2437 0.3409 0.5871  3 H 1.10
C 0.3975 0.9929 0.8116  3 H 1.10
C 0.6161 0.4446 0.5898  3 H 1.10
C 0.3975 0.4929 0.6884  3 H 1.10
C 0.4648 0.2381 0.6702  3 H 1.10
C 0.4648 0.7381 0.8298  3 H 1.10
C 0.5352 0.2619 0.1702  3 H 1.10
C 0.7563 0.6591 0.4129  3 H 1.10
C 0.7563 0.1591 0.0871  3 H 1.10
C 0.6161 0.9446 0.9102  3 H 1.10
S 0.9451 0.6871 0.7363  1 Te 2.31
S 0.6429 0.3580 0.8971  1 Au 2.28, 1 Te 2.42
S 0.0549 0.3129 0.2637  1 Te 2.31
S 0.3571 0.6420 0.1029  1 Au 2.28, 1 Te 2.42
S 0.8547 0.7500 0.0537  1 Au 2.28, 1 Te 2.42
S 0.1453 0.2500 0.9463  1 Au 2.28, 1 Te 2.42
S 0.0549 0.8129 0.2363  1 Te 2.31
S 0.8547 0.2500 0.4463  1 Au 2.28, 1 Te 2.42
S 0.6429 0.8580 0.6029  1 Au 2.28, 1 Te 2.42
S 0.3571 0.1420 0.3971  1 Au 2.28, 1 Te 2.42
S 0.1453 0.7500 0.5537  1 Au 2.28, 1 Te 2.42
S 0.9451 0.1871 0.7637  1 Te 2.31
Te 0.0096 0.6266 0.1489  3 S 2.31-2.42
Te 0.9904 0.8734 0.6489  3 S 2.31-2.42
Te 0.0096 0.1266 0.3511  3 S 2.31-2.42
Te 0.9904 0.3734 0.8511  3 S 2.31-2.42
N 0.5690 0.6209 0.3664  4 C 1.49
N 0.5690 0.1209 0.1336  4 C 1.49
N 0.4310 0.8791 0.8664  4 C 1.49
N 0.4310 0.3791 0.6336  4 C 1.49
Au 0.7403 0.0474 0.5202  2 S 2.28
Au 0.2597 0.4526 0.0202  2 S 2.28
Au 0.2597 0.9526 0.4798  2 S 2.28
Au 0.7403 0.5474 0.9798  2 S 2.28

**Magnetic moment**: 0.000 μB per cell
**Total energy**: -10.4488 eV per atom

Density functional theory data (meta-GGA SCAN) for a PBEsol-optimized structure of AuCI3.

abc: 4.9218 4.9218 4.9218
angles: 90.00 90.00 90.00
Closest atoms and distances in Å follow each position.
Atoms (fractional coordinates):
C 0.0000 0.0000 0.0000  6 I 2.46
Au 0.5000 0.5000 0.5000  12 I 3.48
I 0.0000 0.0000 0.5000  2 C 2.46
I 0.0000 0.5000 0.0000  2 C 2.46
I 0.5000 0.0000 0.0000  2 C 2.46

**E_form (uncorrected)**: 134.6 kJ/mol of atoms
**Magnetic moment**: 0.000 μB per cell

Density functional theory data (meta-GGA SCAN) for a PBEsol-optimized structure of AuCI2.

abc: 5.5950 5.5950 7.7695
angles: 111.10 111.10 90.00
Closest atoms and distances in Å follow each position.
Atoms (fractional coordinates):
C 0.5000 0.5000 0.0000  4 I 2.42
C 0.7500 0.2500 0.5000  4 I 2.42
I 0.4362 0.8750 0.2500  2 C 2.42
I 0.8138 0.3750 0.2500  2 C 2.42
I 0.1250 0.1862 0.7500  2 C 2.42
I 0.6250 0.5638 0.7500  2 C 2.42
Au 0.0000 0.0000 0.0000  4 I 2.79
Au 0.2500 0.7500 0.5000  4 I 2.79

**E_form (uncorrected)**: 142.8 kJ/mol of atoms
**Magnetic moment**: 0.000 μB per cell

Density functional theory data (meta-GGA SCAN) for a PBEsol-optimized structure of AuCI2O.

abc: 2.9760 5.8475 5.8475
angles: 90.00 90.00 90.00
Closest atoms and distances in Å follow each position.
Atoms (fractional coordinates):
I 0.0000 0.5000 0.0000  2 C 2.92, 2 I 2.98
I 0.0000 0.0000 0.5000  2 C 2.92, 2 I 2.98
C 0.0000 0.0000 0.0000  2 O 1.49
O 0.5000 0.0000 0.0000  2 C 1.49
Au 0.5000 0.5000 0.5000  2 Au 2.98, 8 I 3.28

**E_form (uncorrected)**: 107.4 kJ/mol of atoms
**Magnetic moment**: 0.000 μB per cell

Density functional theory data (meta-GGA SCAN) for a PBEsol-optimized structure of InSiAuC2.

abc: 3.9461 3.9461 5.7912
angles: 90.00 90.00 90.00
Closest atoms and distances in Å follow each position.
Atoms (fractional coordinates):
In 0.0000 0.0000 0.5000  4 Si 2.79, 2 Au 2.90
C 0.5000 0.0000 0.0000  2 Au 1.97
C 0.0000 0.5000 0.0000  2 Au 1.97
Si 0.5000 0.5000 0.5000  4 In 2.79
Au 0.0000 0.0000 0.0000  4 C 1.97

**E_form (uncorrected)**: 208.3 kJ/mol of atoms
**Magnetic moment**: 1.724 μB per cell

Density functional theory data (meta-GGA SCAN) for a PBEsol-optimized structure of IrAu3C.

abc: 4.9318 4.9318 4.9318
angles: 90.00 90.00 90.00
Closest atoms and distances in Å follow each position.
Atoms (fractional coordinates):
C 0.5000 0.5000 0.5000  12 Au 3.49
Au 0.0000 0.0000 0.5000  2 Ir 2.47
Au 0.0000 0.5000 0.0000  2 Ir 2.47
Au 0.5000 0.0000 0.0000  2 Ir 2.47
Ir 0.0000 0.0000 0.0000  6 Au 2.47

**E_form**: 2.452 eV/atom
**Magnetic moment**: 3.550 μB per cell

Density functional theory data (meta-GGA SCAN) for a PBEsol-optimized structure of TaIr2AuC.

abc: 3.5823 4.9470 4.9470
angles: 90.00 90.00 90.00
Closest atoms and distances in Å follow each position.
Atoms (fractional coordinates):
Ta 0.5000 0.5000 0.5000  8 Ir 3.05
Ir 0.0000 0.0000 0.5000  2 Au 2.47
Ir 0.0000 0.5000 0.0000  2 Au 2.47
C 0.5000 0.0000 0.0000  2 Au 1.79
Au 0.0000 0.0000 0.0000  2 C 1.79

**E_form**: 2.009 eV/atom
**Magnetic moment**: 0.000 μB per cell

Density functional theory data (meta-GGA SCAN) for a PBEsol-optimized structure of KAuC2.

abc: 5.7909 5.7909 5.7909
angles: 99.60 114.62 114.62
Closest atoms and distances in Å follow each position.
Atoms (fractional coordinates):
Au 0.5000 0.7500 0.2500  4 C 2.00
Au 0.0000 0.0000 0.0000  4 C 2.00
C 0.3832 0.3750 0.2582  2 Au 2.00
C 0.1168 0.7418 0.1250  2 Au 2.00
C 0.6168 0.8750 0.9918  2 Au 2.00
C 0.8832 0.0082 0.6250  2 Au 2.00
K 0.5000 0.2500 0.7500  4 C 2.93
K 0.0000 0.5000 0.5000  4 C 2.93

**E_form**: 1.757 eV/atom
**Magnetic moment**: 2.862 μB per cell

Density functional theory data (meta-GGA SCAN) for a PBEsol-optimized structure of KAu2C.

abc: 6.5370 6.5972 6.5370
angles: 60.30 90.00 119.70
Closest atoms and distances in Å follow each position.
Atoms (fractional coordinates):
C 0.5000 0.0000 0.5000  4 Au 2.01
C 0.2500 0.5000 0.2500  4 Au 2.01
Au 0.3750 0.7500 0.8750  2 C 2.01
Au 0.3750 0.7500 0.3750  2 C 2.01
Au 0.8750 0.2500 0.3750  2 C 2.01
Au 0.3750 0.2500 0.3750  2 C 2.01
K 0.7500 0.5000 0.7500  12 Au 3.84-3.89, 4 C 4.03, 4 K 4.03
K 0.0000 0.0000 0.0000  12 Au 3.84-3.89, 4 C 4.03, 4 K 4.03

**E_form**: 0.297 eV/atom
**Magnetic moment**: 0.000 μB per cell

Density functional theory data (meta-GGA SCAN) for a PBEsol-optimized structure of KAuC2S2N2.

abc: 5.8358 7.5081 17.0914
angles: 85.62 80.17 67.13
Closest atoms and distances in Å follow each position.
Atoms (fractional coordinates):
C 0.2819 0.4270 0.1332  1 N 1.18
C 0.5510 0.4124 0.5929  1 N 1.18
C 0.4490 0.5876 0.4071  1 N 1.18
C 0.1580 0.9270 0.6332  1 N 1.18
C 0.8420 0.0730 0.3668  1 N 1.18
C 0.4437 0.9124 0.0929  1 N 1.18
C 0.5563 0.0876 0.9071  1 N 1.18
C 0.7181 0.5730 0.8668  1 N 1.18
K 0.8161 0.7763 0.5405  4 N 2.81-2.83
K 0.1329 0.7237 0.9595  4 N 2.81-2.83
K 0.8671 0.2763 0.0405  4 N 2.81-2.83
K 0.1839 0.2237 0.4595  4 N 2.81-2.83
N 0.2682 0.9237 0.0642  1 C 1.18
N 0.2215 0.4194 0.0713  1 C 1.18
N 0.7122 0.0806 0.4287  1 C 1.18
N 0.7318 0.0763 0.9358  1 C 1.18
N 0.2878 0.9194 0.5713  1 C 1.18
N 0.7439 0.4237 0.5642  1 C 1.18
N 0.7785 0.5806 0.9287  1 C 1.18
N 0.2561 0.5763 0.4358  1 C 1.18
S 0.6158 0.5733 0.7825  1 C 1.65
S 0.9716 0.9267 0.7175  1 C 1.65
S 0.0284 0.0733 0.2825  1 C 1.65
S 0.6949 0.9043 0.1279  1 C 1.65
S 0.2729 0.4043 0.6279  1 C 1.65
S 0.7271 0.5957 0.3721  1 C 1.65
S 0.3051 0.0957 0.8721  1 C 1.65
S 0.3842 0.4267 0.2175  1 C 1.65
Au 0.1854 0.7500 0.2500  2 S 2.31
Au 0.8146 0.2500 0.7500  2 S 2.31
Au 0.6832 0.7500 0.2500  2 S 2.31
Au 0.3168 0.2500 0.7500  2 S 2.31

**E_form (uncorrected)**: -13.6 kJ/mol of atoms
**Magnetic moment**: 0.000 μB per cell

Density functional theory data (meta-GGA SCAN) for a PBEsol-optimized structure of La2RhAuC.

abc: 4.9188 5.2605 5.2605
angles: 90.00 90.00 90.00
Closest atoms and distances in Å follow each position.
Atoms (fractional coordinates):
Au 0.5000 0.0000 0.0000  2 Rh 2.46
C 0.5000 0.5000 0.5000  8 La 3.60, 4 Au 3.72
Rh 0.0000 0.0000 0.0000  2 Au 2.46, 4 La 2.63
La 0.0000 0.5000 0.0000  2 Rh 2.63
La 0.0000 0.0000 0.5000  2 Rh 2.63

**E_form**: 0.551 eV/atom
**Magnetic moment**: 1.645 μB per cell

Density functional theory data (meta-GGA SCAN) for a PBEsol-optimized structure of LaTiAuC2.

abc: 4.3330 4.3330 5.4643
angles: 90.00 90.00 90.00
Closest atoms and distances in Å follow each position.
Atoms (fractional coordinates):
C 0.0000 0.5000 0.0000  2 La 2.17
C 0.5000 0.0000 0.0000  2 La 2.17
Ti 0.5000 0.5000 0.5000  4 Au 3.06
Au 0.0000 0.0000 0.5000  2 La 2.73
La 0.0000 0.0000 0.0000  4 C 2.17

**E_form**: 1.920 eV/atom
**Magnetic moment**: 1.041 μB per cell

Density functional theory data (meta-GGA SCAN) for a PBEsol-optimized structure of MgNiAu2C.

abc: 4.5160 4.6185 4.6185
angles: 90.00 90.00 90.00
Closest atoms and distances in Å follow each position.
Atoms (fractional coordinates):
Au 0.0000 0.0000 0.5000  2 Ni 2.31
Au 0.0000 0.5000 0.0000  2 Ni 2.31
C 0.5000 0.5000 0.5000  8 Au 3.23, 4 Mg 3.27
Mg 0.5000 0.0000 0.0000  2 Ni 2.26
Ni 0.0000 0.0000 0.0000  2 Mg 2.26, 4 Au 2.31

**E_form**: 1.651 eV/atom
**Magnetic moment**: 1.740 μB per cell

Density functional theory data (meta-GGA SCAN) for a PBEsol-optimized structure of Mn3AuC.

abc: 3.8971 3.8971 3.8971
angles: 90.00 90.00 90.00
Closest atoms and distances in Å follow each position.
Atoms (fractional coordinates):
Mn 0.5000 0.0000 0.0000  2 C 1.95
Mn 0.0000 0.0000 0.5000  2 C 1.95
Mn 0.0000 0.5000 0.0000  2 C 1.95
Au 0.5000 0.5000 0.5000  12 Mn 2.76
C 0.0000 0.0000 0.0000  6 Mn 1.95

**E_form**: -0.312 eV/atom
**Magnetic moment**: 9.729 μB per cell

Density functional theory data (meta-GGA SCAN) for a PBEsol-optimized structure of MnTeAuC2.

abc: 3.9395 3.9395 5.5889
angles: 90.00 90.00 90.00
Closest atoms and distances in Å follow each position.
Atoms (fractional coordinates):
C 0.0000 0.5000 0.0000  2 Au 1.97
C 0.5000 0.0000 0.0000  2 Au 1.97
Mn 0.0000 0.0000 0.5000  4 Te 2.79, 2 Au 2.79
Au 0.0000 0.0000 0.0000  4 C 1.97
Te 0.5000 0.5000 0.5000  4 Mn 2.79

**E_form (uncorrected)**: 167.3 kJ/mol of atoms
**Magnetic moment**: 2.466 μB per cell

Density functional theory data (meta-GGA SCAN) for a PBEsol-optimized structure of MnTl2AuC.

abc: 3.7572 5.7394 5.7394
angles: 90.00 90.00 90.00
Closest atoms and distances in Å follow each position.
Atoms (fractional coordinates):
Au 0.0000 0.0000 0.0000  2 C 1.88
C 0.5000 0.0000 0.0000  2 Au 1.88
Mn 0.5000 0.5000 0.5000  8 Tl 3.43, 2 Mn 3.76
Tl 0.0000 0.0000 0.5000  2 Au 2.87
Tl 0.0000 0.5000 0.0000  2 Au 2.87

**E_form**: 1.002 eV/atom
**Magnetic moment**: 4.515 μB per cell

Density functional theory data (meta-GGA SCAN) for a PBEsol-optimized structure of MoAuCS2.

abc: 4.5876 4.5876 5.3009
angles: 90.00 90.00 90.00
Closest atoms and distances in Å follow each position.
Atoms (fractional coordinates):
C 0.5000 0.5000 0.5000  4 Mo 3.24, 8 S 3.51
S 0.5000 0.0000 0.0000  2 Au 2.29
S 0.0000 0.5000 0.0000  2 Au 2.29
Au 0.0000 0.0000 0.0000  4 S 2.29
Mo 0.0000 0.0000 0.5000  2 Au 2.65

**E_form (uncorrected)**: 230.4 kJ/mol of atoms
**Magnetic moment**: 3.135 μB per cell

Density functional theory data (meta-GGA SCAN) for a PBEsol-optimized structure of SiMo2AuC.

abc: 3.6965 4.2320 4.2320
angles: 90.00 90.00 90.00
Closest atoms and distances in Å follow each position.
Atoms (fractional coordinates):
Mo 0.0000 0.0000 0.5000  2 C 2.12
Mo 0.0000 0.5000 0.0000  2 C 2.12
C 0.0000 0.0000 0.0000  2 Si 1.85
Si 0.5000 0.0000 0.0000  2 C 1.85
Au 0.5000 0.5000 0.5000  8 Mo 2.81, 4 Si 2.99

**E_form (uncorrected)**: 42.3 kJ/mol of atoms
**Magnetic moment**: 0.000 μB per cell

Density functional theory data (meta-GGA SCAN) for a PBEsol-optimized structure of Au3CN.

abc: 4.2313 4.2313 4.2313
angles: 90.00 90.00 90.00
Closest atoms and distances in Å follow each position.
Atoms (fractional coordinates):
N 0.5000 0.5000 0.5000  12 Au 2.99
Au 0.0000 0.0000 0.5000  2 C 2.12
Au 0.5000 0.0000 0.0000  2 C 2.12
Au 0.0000 0.5000 0.0000  2 C 2.12
C 0.0000 0.0000 0.0000  6 Au 2.12

**E_form (uncorrected)**: 158.1 kJ/mol of atoms
**Magnetic moment**: 2.695 μB per cell

Density functional theory data (meta-GGA SCAN) for a PBEsol-optimized structure of Na3AuC.

abc: 4.8217 4.8217 4.8217
angles: 90.00 90.00 90.00
Closest atoms and distances in Å follow each position.
Atoms (fractional coordinates):
Au 0.5000 0.5000 0.5000  12 Na 3.41
Na 0.0000 0.5000 0.0000  2 C 2.41
Na 0.0000 0.0000 0.5000  2 C 2.41
Na 0.5000 0.0000 0.0000  2 C 2.41
C 0.0000 0.0000 0.0000  6 Na 2.41

**E_form**: 0.622 eV/atom
**Magnetic moment**: 2.000 μB per cell